Density functional theory data (SCAN) for a PBEsol-optimized structure of CuPt.

The structure belongs to space group Pmc2_1 (No. 26); the cell edges are 3.7614, 7.9845 and 5.3097 Å and the angles 90.00°, 90.00° and 90.00°. The asymmetric unit holds Cu at (0.0000, 0.0024, 0.0000), Cu at (0.0000, 0.3252, 0.9902), Cu at (0.5000, 0.1633, 0.2391), Pt at (0.0000, 0.3253, 0.4854), Pt at (0.5000, 0.1546, 0.7484) and Pt at (0.5000, 0.4965, 0.2356).

For the uncorrected energy, the calculation gives -42.84 eV per atom. The formation energy from the elements is -0.148 eV/atom.